An optimized crystal structure of Pm2FeO6, computed with PBE+U.

Properties
Energy (eV/atom): -6.989
Total moment (μB/cell): 6.01

a = 3.786 Å, b = 5.734 Å, c = 6.125 Å
α = 117.91°, β = 98.26°, γ = 90.00°
Each line ends with the local moment (μB).
Sites, in units of the cell vectors:
O1 0.824 0.093 0.709  0.15
O2 0.176 0.384 0.291  0.15
O3 0.824 0.616 0.709  0.15
O4 0.176 0.907 0.291  0.15
O5 0.500 0.773 0.000  0.38
O6 0.500 0.227 0.000  0.38
Pm1 0.695 0.668 0.337  0.03
Pm2 0.305 0.332 0.663  0.03
Fe1 0.000 0.000 0.000  4.32